CaEuDyNiO6 | GGA+U | relaxed

Computed properties:
Fermi-level density of states: 30.76 states/eV per cell
Energy: -7.06 eV/atom
Calculated volume: 510 Å³ per cell

Lattice parameters (Å, degrees): 7.9892 7.9892 7.9892 90.00 90.00 90.00
Closest atoms and distances in Å follow each position.
Space group F-43m (No. 216)
Unique sites:
Ca  0.0000  0.0000  0.0000 x4  12 O 2.83
Eu  0.0000  0.0000  0.5000 x4  12 O 2.83
Dy  0.2500  0.2500  0.7500 x4  6 O 2.15
Ni  0.2500  0.2500  0.2500 x4  6 O 1.84
O  0.0195  0.2500  0.2500 x24  1 Ni 1.84